This record from the Alexandria database describes a relaxed structure of PrUS2. The functional is GGA-PBE.

Summary:
Offset from the most stable computed form = 321 meV/atom
Energy relative to the elements, uncorrected = -1.34 eV/atom

Structure (POSCAR):
```
PrUS2
1.0
3.614 0.000 0.000
0.000 5.204 0.000
0.000 0.000 10.080
Pr U S
2 2 4
Direct
0.250 0.250 0.122
0.750 0.750 0.878
0.250 0.750 0.392
0.750 0.250 0.608
0.250 0.250 0.403
0.250 0.250 0.831
0.750 0.750 0.169
0.750 0.750 0.597
```

=====

This record from the Alexandria database describes a relaxed structure of PrMo2N6. The functional is GGA-PBE.

Summary:
Energy relative to the elements, uncorrected = -0.30 eV/atom

Structure (POSCAR):
```
PrMo2N6
1.0
5.727 -1.984 0.000
5.727 1.984 0.000
-2.553 0.000 5.934
Pr Mo N
1 2 6
Direct
0.000 0.000 0.000
0.232 0.232 0.644
0.768 0.768 0.356
0.032 0.032 0.602
0.303 0.303 0.403
0.358 0.358 0.914
0.642 0.642 0.086
0.697 0.697 0.597
0.968 0.968 0.398
```

=====

This record from the Alexandria database describes a relaxed structure of Sc2AlO. The functional is GGA-PBE.

Summary:
Offset from the most stable computed form = 1008 meV/atom
Energy relative to the elements, uncorrected = -0.39 eV/atom

Structure (POSCAR):
```
Sc2AlO
1.0
0.000 3.269 3.269
3.269 0.000 3.269
3.269 3.269 0.000
Sc Al O
2 1 1
Direct
0.250 0.250 0.250
0.750 0.750 0.750
0.000 0.000 0.000
0.500 0.500 0.500
```

=====

This record from the Alexandria database describes a relaxed structure of NdH2I2. The functional is GGA-PBE.

Summary:
Total DFT energy (no corrections) = -3.6262 eV/atom

Structure (POSCAR):
```
NdH2I2
1.0
4.324 -5.554 0.000
4.324 5.554 0.000
-2.185 0.000 8.109
Nd H I
2 4 4
Direct
0.177 0.823 0.000
0.823 0.177 0.000
0.079 0.079 0.931
0.114 0.114 0.070
0.886 0.886 0.930
0.921 0.921 0.069
0.062 0.567 0.262
0.433 0.938 0.738
0.567 0.062 0.262
0.938 0.433 0.738
```

=====

This record from the Alexandria database describes a relaxed structure of InTcH2S. The functional is GGA-PBE.

Summary:
Total DFT energy (no corrections) = -4.5194 eV/atom

Structure (POSCAR):
```
InTcH2S
1.0
3.858 0.000 0.000
0.000 3.858 0.000
0.000 0.000 4.577
In Tc H S
1 1 2 1
Direct
0.000 0.000 0.000
0.500 0.500 0.500
0.000 0.500 0.500
0.500 0.000 0.500
0.500 0.500 0.000
```

=====

This record from the Alexandria database describes a relaxed structure of Tb4Nd2Dy2Er. The functional is GGA-PBE.

Summary:
Formation energy = 0.000 eV/atom

Structure (POSCAR):
```
Tb4Nd2Dy2Er
1.0
9.360 -1.805 0.000
9.360 1.805 0.000
-4.155 0.000 8.640
Tb Nd Dy Er
4 2 2 1
Direct
0.019 0.019 0.334
0.315 0.315 0.665
0.685 0.685 0.335
0.981 0.981 0.666
0.165 0.165 0.998
0.835 0.835 0.002
0.353 0.353 0.337
0.647 0.647 0.663
0.500 0.500 0.000
```

=====

This record from the Alexandria database describes a relaxed structure of LiZrPb2. The functional is GGA-PBE.

Summary:
Formation energy = -0.118 eV/atom

Structure (POSCAR):
```
LiZrPb2
1.0
4.091 0.000 0.000
0.000 4.748 0.000
0.000 0.000 4.805
Li Zr Pb
1 1 2
Direct
0.000 0.000 0.000
0.000 0.500 0.500
0.500 0.000 0.500
0.500 0.500 0.000
```

=====

This record from the Alexandria database describes a relaxed structure of CeSmIr. The functional is GGA-PBE.

Summary:
Offset from the most stable computed form = 80 meV/atom
Formation energy = -0.485 eV/atom

Structure (POSCAR):
```
CeSmIr
1.0
0.000 3.457 3.457
3.457 0.000 3.457
3.457 3.457 0.000
Ce Sm Ir
1 1 1
Direct
0.000 0.000 0.000
0.500 0.500 0.500
0.250 0.250 0.250
```

=====

This record from the Alexandria database describes a relaxed structure of Ac2In3Cu. The functional is GGA-PBE.

Summary:
Offset from the most stable computed form = 0 meV/atom
Formation energy = -0.389 eV/atom

Structure (POSCAR):
```
Ac2In3Cu
1.0
5.822 -2.514 0.000
5.822 2.514 0.000
-5.655 0.000 5.897
Ac In Cu
2 3 1
Direct
0.000 0.000 0.000
0.084 0.084 0.580
0.376 0.376 0.192
0.680 0.680 0.964
0.716 0.716 0.406
0.364 0.364 0.546
```

=====

This record from the Alexandria database describes a relaxed structure of TiRhN2F. The functional is GGA-PBE.

Summary:
Offset from the most stable computed form = 0 meV/atom
Energy relative to the elements, uncorrected = -0.11 eV/atom

Structure (POSCAR):
```
TiRhN2F
1.0
3.985 0.000 0.000
0.000 3.985 0.000
0.000 0.000 3.732
Ti Rh N F
1 1 2 1
Direct
0.000 0.000 0.000
0.500 0.500 0.500
0.000 0.500 0.000
0.500 0.000 0.000
0.000 0.000 0.500
```

=====

This record from the Alexandria database describes a relaxed structure of SrThIrPd. The functional is GGA-PBE.

Summary:
Formation energy = -0.522 eV/atom

Structure (POSCAR):
```
SrThIrPd
1.0
0.000 3.609 3.609
3.609 0.000 3.609
3.609 3.609 0.000
Sr Th Ir Pd
1 1 1 1
Direct
0.000 0.000 0.000
0.500 0.500 0.500
0.750 0.750 0.750
0.250 0.250 0.250
```

=====

This record from the Alexandria database describes a relaxed structure of Nd2HoEr2Tm. The functional is GGA-PBE.

Summary:
Formation energy = 0.069 eV/atom

Structure (POSCAR):
```
Nd2HoEr2Tm
1.0
6.982 0.000 0.000
0.000 5.626 0.000
0.000 0.000 9.747
Nd Ho Er Tm
4 2 4 2
Direct
0.000 0.000 0.000
0.250 0.500 0.179
0.500 0.000 0.000
0.750 0.500 0.821
0.250 0.000 0.658
0.750 0.000 0.342
0.250 0.000 0.332
0.250 0.500 0.836
0.750 0.000 0.668
0.750 0.500 0.164
0.000 0.500 0.500
0.500 0.500 0.500
```